(1)
First-principles (GGA-PBE) data for Pa5Zn after structural relaxation, as listed in Alexandria via LeMat-Bulk.

Output
Offset from the most stable computed form in eV/f.u.: 0.25
Electronic total energy in eV/f.u.: -48.50

```
Pa5Zn
1.0
3.1653 0.0000 0.0000
-1.5826 2.7412 0.0000
0.0000 0.0000 16.5132
Zn Pa
1 5
Direct
0.0000 0.0000 0.0000
0.6667 0.3333 0.8453
0.6667 0.3333 0.1547
0.0000 0.0000 0.3279
0.6667 0.3333 0.5000
0.0000 0.0000 0.6721
```



(2)
First-principles (GGA-PBE) data for PaZn7 after structural relaxation, as listed in Alexandria via LeMat-Bulk.

Output
Electronic total energy in eV/f.u.: -18.79

```
PaZn7
1.0
-2.2338 -2.7794 -1.7698
3.5928 -3.0920 -4.1522
1.7408 -5.6447 2.1944
Zn Pa
7 1
Direct
0.6377 0.5474 0.1769
0.6377 0.1769 0.5474
0.2571 0.2421 0.2421
0.7429 0.7579 0.7579
0.3623 0.4526 0.8231
0.0000 0.5000 0.5000
0.3623 0.8231 0.4526
0.0000 0.0000 0.0000
```



(3)
First-principles (GGA-PBE) data for Pa2Zn7 after structural relaxation, as listed in Alexandria via LeMat-Bulk.

Output
Electronic total energy in eV/f.u.: -28.42

```
Pa2Zn7
1.0
5.2280 0.0000 1.0703
2.5045 4.5891 1.0703
-0.0051 -0.0031 13.3285
Zn Pa
14 4
Direct
0.8950 0.3888 0.3275
0.1050 0.6112 0.6725
0.6112 0.6112 0.6725
0.5000 0.0000 0.0000
0.5000 0.5000 0.5000
0.6112 0.6112 0.1665
0.3888 0.3888 0.3275
0.2794 0.2794 0.1617
0.6112 0.1050 0.6725
0.7206 0.7206 0.8383
0.3888 0.3888 0.8335
0.5000 0.5000 0.0000
0.0000 0.5000 0.0000
0.3888 0.8950 0.3275
0.9477 0.9477 0.1569
0.8459 0.8459 0.4622
0.1541 0.1541 0.5378
0.0523 0.0523 0.8431
```



(4)
First-principles (GGA-PBE) data for ZrPaZn2 after structural relaxation, as listed in Alexandria via LeMat-Bulk.

Output
Offset from the most stable computed form in eV/f.u.: 0.54
Electronic total energy in eV/f.u.: -20.59

```
ZrPaZn2
1.0
3.0513 0.0000 0.0000
1.5256 2.6425 0.0000
1.5256 0.8808 10.0835
Zr Zn Pa
1 2 1
Direct
0.5000 0.5000 0.5000
0.2469 0.2469 0.2594
0.7531 0.7531 0.7406
0.0000 0.0000 0.0000
```



Number 1: magnetic moment 0.00 μB per cell. Number 2: magnetic moment 0.00 μB per cell. Number 3: magnetic moment 3.06 μB per cell. Number 4: magnetic moment 0.00 μB per cell.